An optimized crystal structure of Li4TiCo3O8. Source: Alexandria via LeMat-Bulk, functional GGA-PBEsol.

Symmetry: No. 166
Formation energy from raw total energies: -1.801 eV/atom

a = 5.7598 Å, b = 5.7598 Å, c = 5.7598 Å
α = 58.67°, β = 58.67°, γ = 58.67°
Atoms (fractional coordinates):
Li  0.0000  0.0000  0.0000
Li  0.0000  0.5000  0.5000
Li  0.5000  0.0000  0.5000
Li  0.5000  0.5000  0.0000
Ti  0.5000  0.5000  0.5000
Co  0.0000  0.0000  0.5000
Co  0.0000  0.5000  0.0000
Co  0.5000  0.0000  0.0000
O  0.2366  0.2366  0.2366
O  0.2412  0.7450  0.7450
O  0.2550  0.2550  0.7588
O  0.2550  0.7588  0.2550
O  0.7450  0.2412  0.7450
O  0.7450  0.7450  0.2412
O  0.7588  0.2550  0.2550
O  0.7634  0.7634  0.7634

An optimized crystal structure of Sc2MoBr. Source: Alexandria via LeMat-Bulk, functional GGA-PBEsol.

Symmetry: No. 38
Formation energy from raw total energies: -0.156 eV/atom

a = 4.6534 Å, b = 3.2297 Å, c = 10.0401 Å
α = 90.00°, β = 90.00°, γ = 90.00°
Atoms (fractional coordinates):
Sc  0.0000  0.0000  0.0000
Sc  0.0000  0.5000  0.5000
Sc  0.5000  0.0000  0.2936
Sc  0.5000  0.5000  0.7936
Mo  0.5000  0.0000  0.5478
Mo  0.5000  0.5000  0.0478
Br  0.0000  0.0000  0.7257
Br  0.0000  0.5000  0.2257

An optimized crystal structure of TaAg3B. Source: Alexandria via LeMat-Bulk, functional GGA-PBEsol.

Symmetry: No. 221
Formation energy: 1212 kJ/mol of formula units

a = 5.0531 Å, b = 5.0531 Å, c = 5.0531 Å
α = 90.00°, β = 90.00°, γ = 90.00°
Atoms (fractional coordinates):
Ta  0.0000  0.0000  0.0000
Ag  0.0000  0.0000  0.5000
Ag  0.0000  0.5000  0.0000
Ag  0.5000  0.0000  0.0000
B  0.5000  0.5000  0.5000

An optimized crystal structure of ZrPbBr2. Source: Alexandria via LeMat-Bulk, functional GGA-PBEsol.

Symmetry: No. 12
Formation energy from raw total energies: -0.321 eV/atom

a = 6.6470 Å, b = 9.9488 Å, c = 3.4060 Å
α = 90.00°, β = 120.40°, γ = 90.00°
Atoms (fractional coordinates):
Zr  0.0000  0.0000  0.0000
Zr  0.5000  0.5000  0.0000
Pb  0.0000  0.5000  0.0000
Pb  0.5000  0.0000  0.0000
Br  0.2500  0.2500  0.0000
Br  0.2500  0.7500  0.0000
Br  0.7500  0.2500  0.0000
Br  0.7500  0.7500  0.0000

An optimized crystal structure of ZrIrW2. Source: Alexandria via LeMat-Bulk, functional GGA-PBEsol.

Symmetry: No. 8
Formation energy: 25 kJ/mol of formula units

a = 9.5679 Å, b = 2.7944 Å, c = 5.0256 Å
α = 90.00°, β = 99.45°, γ = 90.00°
Atoms (fractional coordinates):
Zr  0.0000  0.0000  0.0000
Zr  0.5000  0.5000  0.0000
Ir  0.2479  0.5000  0.1838
Ir  0.7479  0.0000  0.1838
W  0.2195  0.0000  0.6776
W  0.4616  0.0000  0.4872
W  0.7195  0.5000  0.6776
W  0.9616  0.5000  0.4872

An optimized crystal structure of NaSrCoB2. Source: Alexandria via LeMat-Bulk, functional GGA-PBEsol.

Symmetry: No. 123
Formation energy: 1121 kJ/mol of formula units

a = 4.4451 Å, b = 4.4451 Å, c = 4.9383 Å
α = 90.00°, β = 90.00°, γ = 90.00°
Atoms (fractional coordinates):
Na  0.0000  0.0000  0.0000
Sr  0.0000  0.0000  0.5000
Co  0.5000  0.5000  0.5000
B  0.0000  0.5000  0.0000
B  0.5000  0.0000  0.0000

An optimized crystal structure of Ni3Ir. Source: Alexandria via LeMat-Bulk, functional GGA-PBEsol.

Symmetry: No. 221
Formation energy: 17 kJ/mol of formula units

a = 3.5646 Å, b = 3.5646 Å, c = 3.5646 Å
α = 90.00°, β = 90.00°, γ = 90.00°
Atoms (fractional coordinates):
Ni  0.0000  0.0000  0.5000
Ni  0.0000  0.5000  0.0000
Ni  0.5000  0.0000  0.0000
Ir  0.5000  0.5000  0.5000

An optimized crystal structure of LaTa2Tc2. Source: Alexandria via LeMat-Bulk, functional GGA-PBEsol.

Symmetry: No. 139
Formation energy: 15 kJ/mol of formula units

a = 4.2787 Å, b = 4.2787 Å, c = 11.2388 Å
α = 90.00°, β = 90.00°, γ = 90.00°
Atoms (fractional coordinates):
La  0.0000  0.0000  0.0000
La  0.5000  0.5000  0.5000
Ta  0.0000  0.5000  0.2500
Ta  0.0000  0.5000  0.7500
Ta  0.5000  0.0000  0.2500
Ta  0.5000  0.0000  0.7500
Tc  0.0000  0.0000  0.3823
Tc  0.0000  0.0000  0.6177
Tc  0.5000  0.5000  0.1177
Tc  0.5000  0.5000  0.8823

An optimized crystal structure of La2InRh. Source: Alexandria via LeMat-Bulk, functional GGA-PBEsol.

Symmetry: No. 123
Formation energy: -211 kJ/mol of formula units

a = 3.4851 Å, b = 3.4851 Å, c = 8.3861 Å
α = 90.00°, β = 90.00°, γ = 90.00°
Atoms (fractional coordinates):
La  0.0000  0.0000  0.2095
La  0.0000  0.0000  0.7905
In  0.5000  0.5000  0.5000
Rh  0.5000  0.5000  0.0000

An optimized crystal structure of Li2AlIn. Source: Alexandria via LeMat-Bulk, functional GGA-PBEsol.

Symmetry: No. 44
Formation energy: -59 kJ/mol of formula units

a = 3.6678 Å, b = 4.4020 Å, c = 8.6621 Å
α = 90.00°, β = 90.00°, γ = 90.00°
Atoms (fractional coordinates):
Li  0.0000  0.0000  0.0000
Li  0.0000  0.5000  0.2582
Li  0.5000  0.0000  0.7582
Li  0.5000  0.5000  0.5000
Al  0.0000  0.5000  0.7469
Al  0.5000  0.0000  0.2469
In  0.0000  0.0000  0.5071
In  0.5000  0.5000  0.0071

An optimized crystal structure of In4Tc. Source: Alexandria via LeMat-Bulk, functional GGA-PBEsol.

Symmetry: No. 229
Formation energy: 0 kJ/mol of formula units

a = 6.2079 Å, b = 6.2079 Å, c = 6.2079 Å
α = 90.00°, β = 90.00°, γ = 90.00°
Atoms (fractional coordinates):
In  0.2500  0.2500  0.2500
In  0.2500  0.2500  0.7500
In  0.2500  0.7500  0.2500
In  0.2500  0.7500  0.7500
In  0.7500  0.2500  0.2500
In  0.7500  0.2500  0.7500
In  0.7500  0.7500  0.2500
In  0.7500  0.7500  0.7500
Tc  0.0000  0.0000  0.0000
Tc  0.5000  0.5000  0.5000

An optimized crystal structure of Ca2H2Se. Source: Alexandria via LeMat-Bulk, functional GGA-PBEsol.

Symmetry: No. 139
E_tot: -4.0786 eV per atom

a = 3.7019 Å, b = 3.7019 Å, c = 11.8006 Å
α = 90.00°, β = 90.00°, γ = 90.00°
Atoms (fractional coordinates):
Ca  0.0000  0.0000  0.1412
Ca  0.0000  0.0000  0.8588
Ca  0.5000  0.5000  0.3588
Ca  0.5000  0.5000  0.6412
H  0.0000  0.5000  0.2500
H  0.0000  0.5000  0.7500
H  0.5000  0.0000  0.2500
H  0.5000  0.0000  0.7500
Se  0.0000  0.0000  0.5000
Se  0.5000  0.5000  0.0000

An optimized crystal structure of AlFeCl2. Source: Alexandria via LeMat-Bulk, functional GGA-PBEsol.

Symmetry: No. 123
Formation energy from raw total energies: 0.234 eV/atom

a = 4.7686 Å, b = 4.7686 Å, c = 3.0547 Å
α = 90.00°, β = 90.00°, γ = 90.00°
Atoms (fractional coordinates):
Al  0.0000  0.0000  0.0000
Fe  0.5000  0.5000  0.0000
Cl  0.0000  0.5000  0.5000
Cl  0.5000  0.0000  0.5000

An optimized crystal structure of Mg2ZrTa. Source: Alexandria via LeMat-Bulk, functional GGA-PBEsol.

Symmetry: No. 47
Formation energy: 101 kJ/mol of formula units

a = 3.3210 Å, b = 4.6184 Å, c = 5.1895 Å
α = 90.00°, β = 90.00°, γ = 90.00°
Atoms (fractional coordinates):
Mg  0.0000  0.0000  0.0000
Mg  0.5000  0.5000  0.0000
Zr  0.0000  0.5000  0.5000
Ta  0.5000  0.0000  0.5000

An optimized crystal structure of SnPbSe2. Source: Alexandria via LeMat-Bulk, functional GGA-PBEsol.

Symmetry: No. 225
Formation energy from raw total energies: -0.268 eV/atom

a = 7.3141 Å, b = 7.3141 Å, c = 7.3141 Å
α = 90.00°, β = 90.00°, γ = 90.00°
Atoms (fractional coordinates):
Sn  0.0000  0.0000  0.0000
Sn  0.0000  0.5000  0.5000
Sn  0.5000  0.0000  0.5000
Sn  0.5000  0.5000  0.0000
Pb  0.0000  0.0000  0.5000
Pb  0.0000  0.5000  0.0000
Pb  0.5000  0.0000  0.0000
Pb  0.5000  0.5000  0.5000
Se  0.2500  0.2500  0.2500
Se  0.2500  0.2500  0.7500
Se  0.2500  0.7500  0.2500
Se  0.2500  0.7500  0.7500
Se  0.7500  0.2500  0.2500
Se  0.7500  0.2500  0.7500
Se  0.7500  0.7500  0.2500
Se  0.7500  0.7500  0.7500

An optimized crystal structure of Ta2SbP. Source: Alexandria via LeMat-Bulk, functional GGA-PBEsol.

Symmetry: No. 99
Formation energy from raw total energies: -0.447 eV/atom

a = 3.3718 Å, b = 3.3718 Å, c = 6.2363 Å
α = 90.00°, β = 90.00°, γ = 90.00°
Atoms (fractional coordinates):
Ta  0.0000  0.0000  0.0000
Ta  0.5000  0.5000  0.2787
Sb  0.5000  0.5000  0.7547
P  0.0000  0.0000  0.4173

An optimized crystal structure of La3In. Source: Alexandria via LeMat-Bulk, functional GGA-PBEsol.

Symmetry: No. 47
Formation energy: -109 kJ/mol of formula units

a = 3.6185 Å, b = 4.6807 Å, c = 7.2179 Å
α = 90.00°, β = 90.00°, γ = 90.00°
Atoms (fractional coordinates):
La  0.0000  0.0000  0.0000
La  0.5000  0.5000  0.2739
La  0.5000  0.5000  0.7261
In  0.0000  0.0000  0.5000

An optimized crystal structure of Ni2MoOs. Source: Alexandria via LeMat-Bulk, functional GGA-PBEsol.

Symmetry: No. 6
Formation energy: 0 kJ/mol of formula units

a = 2.5619 Å, b = 4.0299 Å, c = 4.9693 Å
α = 90.00°, β = 104.61°, γ = 90.00°
Atoms (fractional coordinates):
Ni  0.0000  0.0000  0.0000
Ni  0.1256  0.5000  0.2532
Mo  0.3930  0.5000  0.7754
Os  0.7288  0.0000  0.4671

An optimized crystal structure of TiZnCdN2. Source: Alexandria via LeMat-Bulk, functional GGA-PBEsol.

Symmetry: No. 123
Formation energy from raw total energies: 1.920 eV/atom

a = 4.1087 Å, b = 4.1087 Å, c = 5.2412 Å
α = 90.00°, β = 90.00°, γ = 90.00°
Atoms (fractional coordinates):
Ti  0.0000  0.0000  0.0000
Zn  0.5000  0.5000  0.0000
Cd  0.0000  0.0000  0.5000
N  0.0000  0.5000  0.5000
N  0.5000  0.0000  0.5000

An optimized crystal structure of Zr24P8H. Source: Alexandria via LeMat-Bulk, functional GGA-PBEsol.

Symmetry: No. 3
E_tot: -9.0381 eV per atom

a = 10.6979 Å, b = 5.3161 Å, c = 10.7061 Å
α = 90.00°, β = 90.03°, γ = 90.00°
Atoms (fractional coordinates):
Zr  0.0272  0.0000  0.1364
Zr  0.0873  0.7356  0.6104
Zr  0.1093  0.2424  0.4132
Zr  0.1377  0.5555  0.9727
Zr  0.1804  0.2589  0.7168
Zr  0.2161  0.7638  0.3195
Zr  0.2851  0.2939  0.1791
Zr  0.3214  0.7927  0.7855
Zr  0.3623  0.5007  0.5272
Zr  0.3932  0.8175  0.0850
Zr  0.4155  0.3176  0.8932
Zr  0.4732  0.0564  0.3628
Zr  0.5268  0.0564  0.6372
Zr  0.5845  0.3176  0.1068
Zr  0.6068  0.8175  0.9150
Zr  0.6377  0.5007  0.4728
Zr  0.6786  0.7927  0.2145
Zr  0.7149  0.2939  0.8209
Zr  0.7839  0.7638  0.6805
Zr  0.8196  0.2589  0.2832
Zr  0.8623  0.5555  0.0273
Zr  0.8907  0.2424  0.5868
Zr  0.9127  0.7356  0.3896
Zr  0.9728  0.0000  0.8636
P  0.0404  0.4915  0.2057
P  0.2070  0.0648  0.9598
P  0.2937  0.9908  0.5404
P  0.4593  0.5651  0.2937
P  0.5407  0.5651  0.7063
P  0.7063  0.9908  0.4596
P  0.7930  0.0648  0.0402
P  0.9596  0.4915  0.7943
H  0.0000  0.9872  0.5000

An optimized crystal structure of Ca2InGaTe. Source: Alexandria via LeMat-Bulk, functional GGA-PBEsol.

Symmetry: No. 123
Formation energy from raw total energies: 0.006 eV/atom

a = 5.7238 Å, b = 5.7238 Å, c = 5.6579 Å
α = 90.00°, β = 90.00°, γ = 90.00°
Atoms (fractional coordinates):
Ca  0.0000  0.5000  0.0000
Ca  0.5000  0.0000  0.0000
In  0.0000  0.0000  0.5000
Ga  0.5000  0.5000  0.5000
Te  0.0000  0.0000  0.0000

An optimized crystal structure of CoRe2SbO. Source: Alexandria via LeMat-Bulk, functional GGA-PBEsol.

Symmetry: No. 123
Formation energy from raw total energies: 2.243 eV/atom

a = 4.9883 Å, b = 4.9883 Å, c = 3.8396 Å
α = 90.00°, β = 90.00°, γ = 90.00°
Atoms (fractional coordinates):
Co  0.0000  0.0000  0.0000
Re  0.0000  0.5000  0.5000
Re  0.5000  0.0000  0.5000
Sb  0.5000  0.5000  0.5000
O  0.5000  0.5000  0.0000

An optimized crystal structure of Cd2Ag2Hg. Source: Alexandria via LeMat-Bulk, functional GGA-PBEsol.

Symmetry: No. 127
Formation energy: 12 kJ/mol of formula units

a = 8.3612 Å, b = 8.3612 Å, c = 3.1013 Å
α = 90.00°, β = 90.00°, γ = 90.00°
Atoms (fractional coordinates):
Cd  0.1734  0.3266  0.0000
Cd  0.3266  0.8266  0.0000
Cd  0.6734  0.1734  0.0000
Cd  0.8266  0.6734  0.0000
Ag  0.1226  0.6226  0.5000
Ag  0.3774  0.1226  0.5000
Ag  0.6226  0.8774  0.5000
Ag  0.8774  0.3774  0.5000
Hg  0.0000  0.0000  0.0000
Hg  0.5000  0.5000  0.0000

An optimized crystal structure of CaH2BrCl. Source: Alexandria via LeMat-Bulk, functional GGA-PBEsol.

Symmetry: No. 123
E_tot: -2.8794 eV per atom

a = 4.1033 Å, b = 4.1033 Å, c = 5.3014 Å
α = 90.00°, β = 90.00°, γ = 90.00°
Atoms (fractional coordinates):
Ca  0.0000  0.0000  0.0000
H  0.0000  0.5000  0.5000
H  0.5000  0.0000  0.5000
Br  0.5000  0.5000  0.0000
Cl  0.0000  0.0000  0.5000

An optimized crystal structure of EuNi5P3. Source: Alexandria via LeMat-Bulk, functional GGA-PBEsol.

Symmetry: No. 63
Formation energy: -727 kJ/mol of formula units

a = 6.0390 Å, b = 6.0390 Å, c = 11.3381 Å
α = 90.00°, β = 90.00°, γ = 145.83°
Atoms (fractional coordinates):
Eu  0.1608  0.8392  0.7500
Eu  0.8392  0.1608  0.2500
Ni  0.0000  0.0000  0.0000
Ni  0.0000  0.0000  0.5000
Ni  0.1984  0.8016  0.0682
Ni  0.1984  0.8016  0.4318
Ni  0.4483  0.5517  0.6449
Ni  0.4483  0.5517  0.8551
Ni  0.5517  0.4483  0.1449
Ni  0.5517  0.4483  0.3551
Ni  0.8016  0.1984  0.5682
Ni  0.8016  0.1984  0.9318
P  0.1174  0.8826  0.2500
P  0.3820  0.6180  0.0413
P  0.3820  0.6180  0.4587
P  0.6180  0.3820  0.5413
P  0.6180  0.3820  0.9587
P  0.8826  0.1174  0.7500

An optimized crystal structure of MgCdAg2. Source: Alexandria via LeMat-Bulk, functional GGA-PBEsol.

Symmetry: No. 225
Formation energy: -71 kJ/mol of formula units

a = 6.5894 Å, b = 6.5894 Å, c = 6.5894 Å
α = 90.00°, β = 90.00°, γ = 90.00°
Atoms (fractional coordinates):
Mg  0.0000  0.0000  0.0000
Mg  0.0000  0.5000  0.5000
Mg  0.5000  0.0000  0.5000
Mg  0.5000  0.5000  0.0000
Cd  0.0000  0.0000  0.5000
Cd  0.0000  0.5000  0.0000
Cd  0.5000  0.0000  0.0000
Cd  0.5000  0.5000  0.5000
Ag  0.2500  0.2500  0.2500
Ag  0.2500  0.2500  0.7500
Ag  0.2500  0.7500  0.2500
Ag  0.2500  0.7500  0.7500
Ag  0.7500  0.2500  0.2500
Ag  0.7500  0.2500  0.7500
Ag  0.7500  0.7500  0.2500
Ag  0.7500  0.7500  0.7500

| no. | density of states at the Fermi level (states/eV/cell) |
| --- | --- |
| 1 | 6.05 |
| 2 | 7.08 |
| 3 | 4.18 |
| 4 | 2.99 |
| 5 | 4.94 |
| 6 | 5.37 |
| 7 | 6.77 |
| 8 | 11.01 |
| 9 | 2.75 |
| 10 | 3.10 |
| 11 | 6.70 |
| 12 | 0.00 |
| 13 | 2.61 |
| 14 | 3.72 |
| 15 | 9.44 |
| 16 | 0.88 |
| 17 | 4.74 |
| 18 | 2.99 |
| 19 | 3.77 |
| 20 | 26.23 |
| 21 | 3.91 |
| 22 | 7.21 |
| 23 | 2.95 |
| 24 | 1.79 |
| 25 | 20.74 |
| 26 | 4.59 |